DFT (GGA-PBE) results for a geometry-optimized ZrTaSi2 structure.

Computed properties:
DOS(E_F)	9.65	states/eV/cell
calculated total energy	-95.3	eV for the cell shown
energy above the most stable polymorph in this dataset	521.8	meV/atom
ΔE_f (raw)	-0.13	eV/atom

Cell: 2.9990 2.9990 26.5649 Å, 90.00 90.00 120.00°
With the nearest neighbours (Å) after each atom.
Positions (direct):
Zr  0.0000  0.0000  0.0000  6 Si 2.89, 6 Zr 3.00
Zr  0.3333  0.6667  0.6667  6 Si 2.89, 6 Zr 3.00
Zr  0.6667  0.3333  0.3333  6 Si 2.89, 6 Zr 3.00
Ta  0.0000  0.0000  0.5000  6 Si 2.73, 6 Ta 3.00
Ta  0.3333  0.6667  0.1667  6 Si 2.73, 6 Ta 3.00
Ta  0.6667  0.3333  0.8333  6 Si 2.73, 6 Ta 3.00
Si  0.0000  0.0000  0.2460  3 Ta 2.73, 3 Zr 2.89, 6 Si 3.00
Si  0.0000  0.0000  0.7540  3 Ta 2.73, 3 Zr 2.89, 6 Si 3.00
Si  0.3333  0.6667  0.4206  3 Ta 2.73, 3 Zr 2.89, 6 Si 3.00
Si  0.3333  0.6667  0.9127  3 Ta 2.73, 3 Zr 2.89, 6 Si 3.00
Si  0.6667  0.3333  0.0873  3 Ta 2.73, 3 Zr 2.89, 6 Si 3.00
Si  0.6667  0.3333  0.5794  3 Ta 2.73, 3 Zr 2.89, 6 Si 3.00